No. 1
Below is crystalline Tb5Ho4Tm3 at its relaxed geometry, with properties calculated at the PBE level.

Properties
M_tot	0.00	μB/f.u.
E_tot	-4.554	eV per atom
density	8.79	Mg/m³
polymorph energy (0 for the lowest one)	0.0	meV per atom
N(E_F)	15.3	states/eV/f.u.

The structure in POSCAR format:
```
Tb5Ho4Tm3
1.0
6.098 0.000 0.000
0.016 7.048 0.000
0.017 0.000 8.622
Tb Ho Tm
5 4 3
direct
0.000 0.000 0.000
0.332 0.500 0.666
0.499 0.750 0.000
0.501 0.250 0.000
0.668 0.500 0.334
0.166 0.250 0.334
0.334 0.000 0.666
0.666 0.000 0.334
0.834 0.750 0.666
0.000 0.500 0.000
0.167 0.750 0.334
0.833 0.250 0.666
```



No. 2
Below is crystalline Tb3Ho2Tm6 at its relaxed geometry, with properties calculated at the PBE level.

Properties
M_tot	0.00	μB/f.u.
E_tot	-4.510	eV per atom
density	9.02	Mg/m³
polymorph energy (0 for the lowest one)	0.0	meV per atom
N(E_F)	15.3	states/eV/f.u.

The structure in POSCAR format:
```
Tb3Ho2Tm6
1.0
1.755 1.013 31.386
-1.755 1.013 31.386
0.000 -2.027 31.386
Tb Ho Tm
3 2 6
direct
0.000 0.000 0.000
0.273 0.273 0.273
0.727 0.727 0.727
0.455 0.455 0.455
0.545 0.545 0.545
0.091 0.091 0.091
0.182 0.182 0.182
0.364 0.364 0.364
0.636 0.636 0.636
0.818 0.818 0.818
0.909 0.909 0.909
```



No. 3
Below is crystalline Tb2Ho3Tm9 at its relaxed geometry, with properties calculated at the PBE level.

Properties
M_tot	0.00	μB/f.u.
E_tot	-4.393	eV per atom
density	8.90	Mg/m³
N(E_F)	21.6	states/eV/f.u.

The structure in POSCAR format:
```
Tb2Ho3Tm9
1.0
6.128 0.000 0.000
0.437 8.578 0.000
1.866 1.502 8.282
Tb Ho Tm
2 3 9
direct
0.047 0.031 0.298
0.953 0.969 0.702
0.246 0.619 0.728
0.500 0.000 0.000
0.754 0.381 0.272
0.010 0.750 0.084
0.154 0.333 0.507
0.311 0.383 0.103
0.409 0.686 0.305
0.500 0.000 0.500
0.591 0.314 0.695
0.689 0.617 0.897
0.846 0.667 0.493
0.990 0.250 0.916
```



No. 4
Below is crystalline TbHoTm2 at its relaxed geometry, with properties calculated at the PBE level.

Properties
M_tot	0.00	μB/f.u.
E_tot	-4.529	eV per atom
density	8.97	Mg/m³
polymorph energy (0 for the lowest one)	4.4	meV per atom
N(E_F)	6.1	states/eV/f.u.

The structure in POSCAR format:
```
TbHoTm2
1.0
1.769 1.021 11.299
-1.769 1.021 11.299
0.000 -2.042 11.299
Tb Ho Tm
1 1 2
direct
0.000 0.000 0.000
0.166 0.166 0.166
0.417 0.417 0.417
0.582 0.582 0.582
```



No. 5
Below is crystalline Tb7HoTm3 at its relaxed geometry, with properties calculated at the PBE level.

Properties
M_tot	0.31	μB/f.u.
E_tot	-4.317	eV per atom
density	8.35	Mg/m³
polymorph energy (0 for the lowest one)	126.5	meV per atom
N(E_F)	15.6	states/eV/f.u.

The structure in POSCAR format:
```
Tb7HoTm3
1.0
6.253 -5.548 0.000
6.253 5.548 0.000
-2.642 0.000 5.115
Tb Ho Tm
7 1 3
direct
0.000 0.000 0.000
0.098 0.512 0.305
0.292 0.292 0.793
0.488 0.902 0.695
0.512 0.098 0.305
0.708 0.708 0.207
0.902 0.488 0.695
0.000 0.000 0.500
0.295 0.705 0.000
0.500 0.500 0.500
0.705 0.295 0.000
```



No. 6
Below is crystalline Tb2Ho2Tm5 at its relaxed geometry, with properties calculated at the PBE level.

Properties
M_tot	0.00	μB/f.u.
E_tot	-4.508	eV per atom
density	9.05	Mg/m³
polymorph energy (0 for the lowest one)	0.0	meV per atom
N(E_F)	11.7	states/eV/f.u.

The structure in POSCAR format:
```
Tb2Ho2Tm5
1.0
3.498 0.000 0.000
1.740 7.656 0.000
0.000 2.396 10.227
Tb Ho Tm
2 2 5
direct
0.166 0.167 0.389
0.834 0.833 0.611
0.499 0.501 0.166
0.501 0.499 0.834
0.166 0.166 0.055
0.168 0.167 0.723
0.500 0.500 0.500
0.832 0.833 0.277
0.834 0.834 0.945
```



No. 7
Below is crystalline TbHo2Tm3 at its relaxed geometry, with properties calculated at the PBE level.

Properties
M_tot	0.00	μB/f.u.
E_tot	-4.509	eV per atom
density	9.06	Mg/m³
polymorph energy (0 for the lowest one)	0.0	meV per atom
N(E_F)	8.5	states/eV/f.u.

The structure in POSCAR format:
```
TbHo2Tm3
1.0
8.589 -3.506 0.000
8.589 3.506 0.000
-0.010 0.000 6.061
Tb Ho Tm
2 4 6
direct
0.125 0.875 0.750
0.875 0.125 0.250
0.208 0.458 0.583
0.458 0.208 0.083
0.542 0.792 0.917
0.792 0.542 0.417
0.042 0.292 0.917
0.292 0.042 0.417
0.375 0.625 0.250
0.625 0.375 0.750
0.708 0.958 0.583
0.958 0.708 0.083
```



No. 8
Below is crystalline TbHoTm4 at its relaxed geometry, with properties calculated at the PBE level.

Properties
M_tot	0.00	μB/f.u.
E_tot	-4.434	eV per atom
density	9.11	Mg/m³
polymorph energy (0 for the lowest one)	0.0	meV per atom
N(E_F)	10.8	states/eV/f.u.

The structure in POSCAR format:
```
TbHoTm4
1.0
3.438 0.000 0.000
0.000 5.532 0.000
0.000 0.000 9.576
Tb Ho Tm
1 1 4
direct
0.000 0.000 0.000
0.000 0.500 0.500
0.500 0.000 0.334
0.500 0.000 0.666
0.500 0.500 0.167
0.500 0.500 0.833
```



No. 9
Below is crystalline Tb2Ho3Tm4 at its relaxed geometry, with properties calculated at the PBE level.

Properties
M_tot	0.00	μB/f.u.
E_tot	-4.439	eV per atom
density	8.97	Mg/m³
N(E_F)	13.3	states/eV/f.u.

The structure in POSCAR format:
```
Tb2Ho3Tm4
1.0
8.013 -5.715 0.000
8.013 5.715 0.000
-0.632 0.000 6.017
Tb Ho Tm
4 6 8
direct
0.021 0.735 0.678
0.265 0.979 0.822
0.735 0.021 0.178
0.979 0.265 0.322
0.097 0.903 0.250
0.237 0.432 0.409
0.432 0.237 0.909
0.568 0.763 0.091
0.763 0.568 0.591
0.903 0.097 0.750
0.075 0.355 0.848
0.313 0.595 0.985
0.355 0.075 0.348
0.405 0.687 0.515
0.595 0.313 0.485
0.645 0.925 0.652
0.687 0.405 0.015
0.925 0.645 0.152
```



No. 10
Below is crystalline TbHoTm3 at its relaxed geometry, with properties calculated at the PBE level.

Properties
M_tot	0.00	μB/f.u.
E_tot	-4.197	eV per atom
density	8.27	Mg/m³
polymorph energy (0 for the lowest one)	327.3	meV per atom
N(E_F)	8.5	states/eV/f.u.

The structure in POSCAR format:
```
TbHoTm3
1.0
3.582 0.000 0.000
0.000 11.388 0.000
-1.788 0.000 8.183
Tb Ho Tm
2 2 6
direct
0.188 0.250 0.378
0.812 0.750 0.622
0.487 0.750 0.970
0.513 0.250 0.030
0.151 0.750 0.300
0.345 0.001 0.692
0.345 0.499 0.692
0.655 0.501 0.308
0.655 0.999 0.308
0.849 0.250 0.700
```



No. 11
Below is crystalline Tb4HoTm6 at its relaxed geometry, with properties calculated at the PBE level.

Properties
M_tot	0.00	μB/f.u.
E_tot	-4.232	eV per atom
density	8.47	Mg/m³
polymorph energy (0 for the lowest one)	0.0	meV per atom
N(E_F)	13.4	states/eV/f.u.

The structure in POSCAR format:
```
Tb4HoTm6
1.0
-3.251 3.251 8.411
3.251 -3.251 8.411
3.251 3.251 -8.411
Tb Ho Tm
4 1 6
direct
0.139 0.139 0.625
0.486 0.861 0.000
0.514 0.514 0.375
0.861 0.486 0.000
0.500 0.500 0.000
0.000 0.500 0.500
0.050 0.692 0.000
0.308 0.308 0.358
0.500 0.000 0.500
0.692 0.050 0.000
0.950 0.950 0.642
```



No. 12
Below is crystalline TbHoTm2 at its relaxed geometry, with properties calculated at the PBE level.

Properties
M_tot	0.00	μB/f.u.
E_tot	-4.514	eV per atom
density	9.00	Mg/m³
polymorph energy (0 for the lowest one)	18.9	meV per atom
N(E_F)	5.2	states/eV/f.u.

The structure in POSCAR format:
```
TbHoTm2
1.0
3.509 0.000 0.000
0.000 3.509 0.000
0.000 0.000 9.922
Tb Ho Tm
1 1 2
direct
0.000 0.000 0.000
0.000 0.000 0.500
0.500 0.500 0.251
0.500 0.500 0.749
```



The highest E_tot belongs to which entry?
TbHoTm3